No. 1
The following is a DFT calculation (PBE-GGA) of K6GaO4 after structural relaxation.

Summary:
- ΔE_f (raw) (eV/atom) = -1.25
- DFT total energy (eV/atom) = -3.9237
- D(E_F) (states/eV/atom) = 0.089

a b c (Å): 6.528 9.112 9.112
angles (deg): 120.00 90.00 90.00
Fractional coordinates of all 22 atoms:
K (0.475, 0.718, 0.859)
K (0.475, 0.141, 0.282)
K (0.475, 0.141, 0.859)
K (0.975, 0.282, 0.141)
K (0.975, 0.859, 0.718)
K (0.975, 0.859, 0.141)
K (0.634, 0.921, 0.460)
K (0.634, 0.540, 0.079)
K (0.634, 0.540, 0.460)
K (0.134, 0.079, 0.540)
K (0.134, 0.460, 0.921)
K (0.134, 0.460, 0.540)
Ga (0.731, 0.333, 0.667)
Ga (0.231, 0.667, 0.333)
O (0.436, 0.333, 0.667)
O (0.936, 0.667, 0.333)
O (0.833, 0.562, 0.781)
O (0.833, 0.219, 0.438)
O (0.833, 0.219, 0.781)
O (0.333, 0.438, 0.219)
O (0.333, 0.781, 0.562)
O (0.333, 0.781, 0.219)


No. 2
The following is a DFT calculation (PBE-GGA) of K3GaO after structural relaxation.

Summary:
- ΔE_f (raw) (eV/atom) = -0.39
- DFT total energy (eV/atom) = -2.6446
- D(E_F) (states/eV/atom) = 0.722

a b c (Å): 5.434 5.434 5.434
angles (deg): 90.00 90.00 90.00
Fractional coordinates of all 5 atoms:
K (0.000, 0.500, 0.000)
K (0.000, 0.000, 0.500)
K (0.500, 0.000, 0.000)
O (0.000, 0.000, 0.000)
Ga (0.500, 0.500, 0.500)


No. 3
The following is a DFT calculation (PBE-GGA) of KGaOs2O8 after structural relaxation.

Summary:
- ΔE_f (raw) (eV/atom) = -1.10
- DFT total energy (eV/atom) = -6.6173
- D(E_F) (states/eV/atom) = 0.280

a b c (Å): 5.379 5.379 7.931
angles (deg): 90.00 90.00 120.00
Fractional coordinates of all 12 atoms:
K (0.000, 0.000, 0.000)
Ga (0.000, 0.000, 0.500)
Os (0.667, 0.333, 0.280)
Os (0.333, 0.667, 0.720)
O (0.333, 0.667, 0.943)
O (0.316, 0.272, 0.349)
O (0.728, 0.045, 0.349)
O (0.667, 0.333, 0.057)
O (0.272, 0.955, 0.651)
O (0.684, 0.728, 0.651)
O (0.045, 0.316, 0.651)
O (0.955, 0.684, 0.349)


No. 4
The following is a DFT calculation (PBE-GGA) of KGaP4O12 after structural relaxation.

Summary:
- ΔE_f (raw) (eV/atom) = -2.15
- DFT total energy (eV/atom) = -6.8882
- D(E_F) (states/eV/atom) = 0.000

a b c (Å): 10.525 10.525 5.218
angles (deg): 81.33 81.33 72.38
Fractional coordinates of all 36 atoms:
K (0.407, 0.407, 0.736)
K (0.593, 0.593, 0.264)
Ga (0.500, 0.000, 0.000)
Ga (0.000, 0.500, 0.000)
P (0.799, 0.355, 0.836)
P (0.069, 0.308, 0.535)
P (0.308, 0.069, 0.535)
P (0.645, 0.201, 0.164)
P (0.355, 0.799, 0.836)
P (0.692, 0.931, 0.465)
P (0.931, 0.692, 0.465)
P (0.201, 0.645, 0.164)
O (0.427, 0.849, 0.015)
O (0.399, 0.100, 0.700)
O (0.430, 0.677, 0.711)
O (0.151, 0.573, 0.985)
O (0.573, 0.151, 0.985)
O (0.912, 0.657, 0.756)
O (0.215, 0.785, 0.000)
O (0.570, 0.323, 0.289)
O (0.601, 0.900, 0.300)
O (0.709, 0.077, 0.378)
O (0.323, 0.570, 0.289)
O (0.900, 0.601, 0.300)
O (0.849, 0.427, 0.015)
O (0.077, 0.709, 0.378)
O (0.157, 0.157, 0.605)
O (0.100, 0.399, 0.700)
O (0.677, 0.430, 0.711)
O (0.291, 0.923, 0.622)
O (0.785, 0.215, 0.000)
O (0.343, 0.088, 0.244)
O (0.657, 0.912, 0.756)
O (0.843, 0.843, 0.395)
O (0.923, 0.291, 0.622)
O (0.088, 0.343, 0.244)


No. 5
The following is a DFT calculation (PBE-GGA) of KGa2PO6 after structural relaxation.

Summary:
- ΔE_f (raw) (eV/atom) = -2.03
- DFT total energy (eV/atom) = -6.2639
- D(E_F) (states/eV/atom) = 0.000

a b c (Å): 6.027 7.225 7.225
angles (deg): 106.11 76.46 76.46
Fractional coordinates of all 20 atoms:
K (0.250, 0.898, 0.102)
K (0.750, 0.102, 0.898)
Ga (0.361, 0.706, 0.546)
Ga (0.139, 0.454, 0.294)
Ga (0.639, 0.294, 0.454)
Ga (0.861, 0.546, 0.706)
P (0.250, 0.200, 0.800)
P (0.750, 0.800, 0.200)
O (0.231, 0.981, 0.748)
O (0.269, 0.252, 0.019)
O (0.769, 0.019, 0.252)
O (0.731, 0.748, 0.981)
O (0.516, 0.800, 0.343)
O (0.984, 0.657, 0.200)
O (0.484, 0.200, 0.657)
O (0.016, 0.343, 0.800)
O (0.045, 0.679, 0.575)
O (0.455, 0.425, 0.321)
O (0.955, 0.321, 0.425)
O (0.545, 0.575, 0.679)


No. 6
The following is a DFT calculation (PBE-GGA) of KGaPO2 after structural relaxation.

Summary:
- ΔE_f (raw) (eV/atom) = 1.14
- energy above the lowest structure with this stoichiometry (eV/atom) = 1.399
- DFT total energy (eV/atom) = -2.7485
- D(E_F) (states/eV/atom) = 1.033

a b c (Å): 4.295 5.816 4.295
angles (deg): 90.00 90.00 90.00
Fractional coordinates of all 5 atoms:
P (0.000, 0.500, 0.000)
K (0.000, 0.000, 0.000)
O (0.000, 0.000, 0.500)
O (0.500, 0.000, 0.000)
Ga (0.500, 0.500, 0.500)


No. 7
The following is a DFT calculation (PBE-GGA) of KGaP2O8 after structural relaxation.

Summary:
- ΔE_f (raw) (eV/atom) = -1.84
- DFT total energy (eV/atom) = -6.3920
- D(E_F) (states/eV/atom) = 0.398

a b c (Å): 5.112 5.112 7.765
angles (deg): 90.00 90.00 120.00
Fractional coordinates of all 12 atoms:
K (0.000, 0.000, 0.000)
Ga (0.000, 0.000, 0.500)
P (0.667, 0.333, 0.292)
P (0.333, 0.667, 0.708)
O (0.333, 0.667, 0.908)
O (0.346, 0.249, 0.349)
O (0.751, 0.096, 0.349)
O (0.667, 0.333, 0.092)
O (0.249, 0.904, 0.651)
O (0.654, 0.751, 0.651)
O (0.096, 0.346, 0.651)
O (0.904, 0.654, 0.349)


No. 8
The following is a DFT calculation (PBE-GGA) of KGaPO2 after structural relaxation.

Summary:
- ΔE_f (raw) (eV/atom) = -0.26
- energy above the lowest structure with this stoichiometry (eV/atom) = 0.000
- DFT total energy (eV/atom) = -4.1476
- D(E_F) (states/eV/atom) = 0.656

a b c (Å): 4.152 4.152 4.849
angles (deg): 90.00 90.00 90.00
Fractional coordinates of all 5 atoms:
P (0.000, 0.000, 0.500)
K (0.500, 0.500, 0.500)
O (0.000, 0.500, 0.000)
O (0.500, 0.000, 0.000)
Ga (0.000, 0.000, 0.000)


No. 9
The following is a DFT calculation (PBE-GGA) of KPaGaO5 after structural relaxation.

Summary:
- ΔE_f (raw) (eV/atom) = -2.40
- DFT total energy (eV/atom) = -7.1986
- D(E_F) (states/eV/atom) = 0.844

a b c (Å): 6.203 6.203 8.209
angles (deg): 105.12 105.12 105.58
Fractional coordinates of all 16 atoms:
K (0.331, 0.669, 0.250)
K (0.669, 0.331, 0.750)
Pa (0.000, 0.000, 0.500)
Pa (0.000, 0.000, 0.000)
Ga (0.688, 0.312, 0.250)
Ga (0.312, 0.688, 0.750)
O (0.062, 0.938, 0.250)
O (0.938, 0.062, 0.750)
O (0.886, 0.287, 0.114)
O (0.114, 0.713, 0.886)
O (0.713, 0.114, 0.386)
O (0.287, 0.886, 0.614)
O (0.767, 0.630, 0.395)
O (0.233, 0.370, 0.605)
O (0.370, 0.233, 0.105)
O (0.630, 0.767, 0.895)


No. 10
The following is a DFT calculation (PBE-GGA) of KPaGaO6 after structural relaxation.

Summary:
- ΔE_f (raw) (eV/atom) = -1.78
- DFT total energy (eV/atom) = -6.5974
- D(E_F) (states/eV/atom) = 0.398

a b c (Å): 4.698 5.786 5.786
angles (deg): 120.00 90.00 90.00
Fractional coordinates of all 9 atoms:
K (0.500, 0.667, 0.333)
Pa (0.000, 0.333, 0.667)
Ga (0.500, 0.000, 0.000)
O (0.737, 0.680, 0.762)
O (0.737, 0.238, 0.918)
O (0.737, 0.082, 0.320)
O (0.263, 0.238, 0.320)
O (0.263, 0.680, 0.918)
O (0.263, 0.082, 0.762)


No. 11
The following is a DFT calculation (PBE-GGA) of KPaGa2O6 after structural relaxation.

Summary:
- ΔE_f (raw) (eV/atom) = -2.39
- DFT total energy (eV/atom) = -7.0328
- D(E_F) (states/eV/atom) = 0.000

a b c (Å): 6.203 7.605 7.605
angles (deg): 87.00 76.24 76.24
Fractional coordinates of all 20 atoms:
K (0.250, 0.910, 0.090)
K (0.750, 0.090, 0.910)
Pa (0.250, 0.285, 0.715)
Pa (0.750, 0.715, 0.285)
Ga (0.336, 0.786, 0.629)
Ga (0.164, 0.371, 0.214)
Ga (0.664, 0.214, 0.371)
Ga (0.836, 0.629, 0.786)
O (0.209, 0.007, 0.739)
O (0.291, 0.261, 0.993)
O (0.791, 0.993, 0.261)
O (0.709, 0.739, 0.007)
O (0.401, 0.793, 0.377)
O (0.099, 0.623, 0.207)
O (0.599, 0.207, 0.623)
O (0.901, 0.377, 0.793)
O (0.163, 0.615, 0.710)
O (0.337, 0.290, 0.385)
O (0.837, 0.385, 0.290)
O (0.663, 0.710, 0.615)


No. 12
The following is a DFT calculation (PBE-GGA) of KGa2PbO after structural relaxation.

Summary:
- ΔE_f (raw) (eV/atom) = 1.39
- DFT total energy (eV/atom) = -1.7780
- D(E_F) (states/eV/atom) = 0.924

a b c (Å): 5.691 6.269 5.691
angles (deg): 90.00 90.00 90.00
Fractional coordinates of all 5 atoms:
Pb (0.000, 0.500, 0.000)
K (0.000, 0.000, 0.000)
O (0.500, 0.500, 0.500)
Ga (0.000, 0.000, 0.500)
Ga (0.500, 0.000, 0.000)


No. 13
The following is a DFT calculation (PBE-GGA) of KPm2GaO5 after structural relaxation.

Summary:
- ΔE_f (raw) (eV/atom) = -2.64
- DFT total energy (eV/atom) = -6.9107
- D(E_F) (states/eV/atom) = 0.000

a b c (Å): 6.789 6.789 7.429
angles (deg): 117.19 117.19 90.00
Fractional coordinates of all 18 atoms:
K (0.250, 0.250, 0.500)
K (0.750, 0.750, 0.500)
Pm (0.180, 0.320, 0.000)
Pm (0.680, 0.180, 0.000)
Pm (0.320, 0.820, 0.000)
Pm (0.820, 0.680, 0.000)
Ga (0.250, 0.750, 0.500)
Ga (0.750, 0.250, 0.500)
O (0.996, 0.496, 0.265)
O (0.731, 0.231, 0.735)
O (0.004, 0.504, 0.735)
O (0.231, 0.004, 0.735)
O (0.504, 0.731, 0.735)
O (0.769, 0.996, 0.265)
O (0.496, 0.269, 0.265)
O (0.269, 0.769, 0.265)
O (0.500, 0.500, 0.000)
O (0.000, 0.000, 0.000)


No. 14
The following is a DFT calculation (PBE-GGA) of KPm4Ga3O12 after structural relaxation.

Summary:
- ΔE_f (raw) (eV/atom) = -2.30
- DFT total energy (eV/atom) = -6.7369
- D(E_F) (states/eV/atom) = 0.315

a b c (Å): 7.305 7.305 7.305
angles (deg): 109.47 109.47 109.47
Fractional coordinates of all 20 atoms:
K (0.000, 0.000, 0.000)
Pm (0.500, 0.000, 0.000)
Pm (0.500, 0.500, 0.500)
Pm (0.000, 0.500, 0.000)
Pm (0.000, 0.000, 0.500)
Ga (0.000, 0.500, 0.500)
Ga (0.500, 0.500, 0.000)
Ga (0.500, 0.000, 0.500)
O (0.334, 0.845, 0.180)
O (0.666, 0.155, 0.820)
O (0.666, 0.845, 0.511)
O (0.820, 0.666, 0.155)
O (0.845, 0.180, 0.334)
O (0.155, 0.489, 0.334)
O (0.489, 0.334, 0.155)
O (0.155, 0.820, 0.666)
O (0.334, 0.155, 0.489)
O (0.180, 0.334, 0.845)
O (0.845, 0.511, 0.666)
O (0.511, 0.666, 0.845)


No. 15
The following is a DFT calculation (PBE-GGA) of K2PmGa2O6 after structural relaxation.

Summary:
- ΔE_f (raw) (eV/atom) = -1.89
- DFT total energy (eV/atom) = -5.7744
- D(E_F) (states/eV/atom) = 0.915

a b c (Å): 5.578 5.578 6.406
angles (deg): 90.00 90.00 120.00
Fractional coordinates of all 11 atoms:
K (0.667, 0.333, 0.500)
K (0.333, 0.667, 0.500)
Pm (0.000, 0.000, 0.000)
Ga (0.333, 0.667, 0.000)
Ga (0.667, 0.333, 0.000)
O (0.000, 0.377, 0.831)
O (0.623, 0.623, 0.831)
O (0.377, 0.000, 0.831)
O (0.000, 0.623, 0.169)
O (0.377, 0.377, 0.169)
O (0.623, 0.000, 0.169)


No. 16
The following is a DFT calculation (PBE-GGA) of KPmGaO4 after structural relaxation.

Summary:
- ΔE_f (raw) (eV/atom) = -2.05
- DFT total energy (eV/atom) = -6.1467
- D(E_F) (states/eV/atom) = 0.181

a b c (Å): 6.098 4.753 8.204
angles (deg): 90.00 106.25 90.00
Fractional coordinates of all 14 atoms:
K (0.707, 0.750, 0.974)
K (0.293, 0.250, 0.026)
Pm (0.740, 0.750, 0.433)
Pm (0.260, 0.250, 0.567)
Ga (0.228, 0.750, 0.306)
Ga (0.772, 0.250, 0.694)
O (0.002, 0.514, 0.697)
O (0.998, 0.014, 0.303)
O (0.998, 0.486, 0.303)
O (0.002, 0.986, 0.697)
O (0.428, 0.750, 0.180)
O (0.572, 0.250, 0.820)
O (0.395, 0.750, 0.537)
O (0.605, 0.250, 0.463)


No. 17
The following is a DFT calculation (PBE-GGA) of K4Pm3GaO8 after structural relaxation.

Summary:
- ΔE_f (raw) (eV/atom) = -2.31
- DFT total energy (eV/atom) = -6.1474
- D(E_F) (states/eV/atom) = 0.000

a b c (Å): 6.924 7.442 7.086
angles (deg): 117.71 119.24 90.00
Fractional coordinates of all 16 atoms:
K (0.500, 0.000, 0.000)
K (0.500, 0.000, 0.500)
K (0.000, 0.000, 0.000)
K (0.000, 0.000, 0.500)
Pm (0.500, 0.500, 0.000)
Pm (0.500, 0.500, 0.500)
Pm (0.000, 0.500, 0.500)
Ga (0.000, 0.500, 0.000)
O (0.198, 0.671, 0.962)
O (0.253, 0.715, 0.506)
O (0.275, 0.309, 0.550)
O (0.764, 0.671, 0.962)
O (0.236, 0.329, 0.038)
O (0.725, 0.691, 0.450)
O (0.747, 0.285, 0.494)
O (0.802, 0.329, 0.038)


No. 18
The following is a DFT calculation (PBE-GGA) of K3PmGa2O6 after structural relaxation.

Summary:
- ΔE_f (raw) (eV/atom) = -1.97
- DFT total energy (eV/atom) = -5.6221
- D(E_F) (states/eV/atom) = 0.000

a b c (Å): 6.209 6.209 7.214
angles (deg): 90.00 90.00 120.00
Fractional coordinates of all 12 atoms:
K (0.333, 0.667, 0.749)
K (0.667, 0.333, 0.251)
K (0.000, 0.000, 0.000)
Pm (0.000, 0.000, 0.500)
Ga (0.667, 0.333, 0.712)
Ga (0.333, 0.667, 0.288)
O (0.665, 0.832, 0.289)
O (0.168, 0.335, 0.289)
O (0.168, 0.832, 0.289)
O (0.832, 0.665, 0.711)
O (0.335, 0.168, 0.711)
O (0.832, 0.168, 0.711)